Entry 1:
BaCo2Re GGA-PBE relaxed; polymorph energy (0 for the lowest one) = 0.88 eV per formula unit; Fermi-level density of states = 5.23 states/eV/cell; formation energy from the elements = 575.2 meV/atom; spin magnetization = 1.65 μB/f.u.
1.0
-1.910 2.229 -0.965
-2.316 -1.303 1.575
1.796 4.183 6.101
Ba Co Re
1 2 1
Cartesian
-0.766 3.600 4.881
0.149 0.348 0.508
0.749 1.743 2.543
-1.664 1.508 1.830

---

Entry 2:
Cs7Hg2Br GGA-PBE relaxed; Fermi-level density of states = 12.83 states/eV/cell; raw formation energy = -0.408 eV per atom; spin magnetization = 0.00 μB/f.u.
1.0
-3.325 -9.689 -1.873
5.591 -5.956 -8.061
10.668 -10.078 4.246
Cs Hg Br
14 4 2
Cartesian
9.735 -18.453 -1.550
6.379 -18.773 -8.164
13.397 -17.081 -4.717
4.663 -10.482 -0.915
7.407 -14.852 0.047
3.253 -14.937 -3.945
1.409 -3.530 -2.152
11.526 -22.192 -3.536
9.682 -10.785 -1.744
5.528 -10.870 -5.735
8.271 -15.240 -4.773
-0.463 -8.641 -0.971
6.556 -6.948 2.476
3.200 -7.269 -4.138
9.870 -19.038 -5.796
1.731 -11.049 -3.894
11.204 -14.673 -1.794
3.064 -6.684 0.108
6.224 -18.299 -0.619
6.710 -7.423 -5.069

---

> Which of these has the highest spin magnetization?

BaCo2Re

---

> Fermi-level density of states of number 1 (BaCo2Re)?

5.23 states/eV/cell

---

> Among the records above, which one has the lowest Fermi-level density of states?

BaCo2Re

---

Repeat the second record exactly.
Cs7Hg2Br GGA-PBE relaxed; Fermi-level density of states = 12.83 states/eV/cell; raw formation energy = -0.408 eV per atom; spin magnetization = 0.00 μB/f.u.
1.0
-3.325 -9.689 -1.873
5.591 -5.956 -8.061
10.668 -10.078 4.246
Cs Hg Br
14 4 2
Cartesian
9.735 -18.453 -1.550
6.379 -18.773 -8.164
13.397 -17.081 -4.717
4.663 -10.482 -0.915
7.407 -14.852 0.047
3.253 -14.937 -3.945
1.409 -3.530 -2.152
11.526 -22.192 -3.536
9.682 -10.785 -1.744
5.528 -10.870 -5.735
8.271 -15.240 -4.773
-0.463 -8.641 -0.971
6.556 -6.948 2.476
3.200 -7.269 -4.138
9.870 -19.038 -5.796
1.731 -11.049 -3.894
11.204 -14.673 -1.794
3.064 -6.684 0.108
6.224 -18.299 -0.619
6.710 -7.423 -5.069